# 1
This record from OQMD describes a relaxed Na3SmP2 crystal. The functional is PBE.

Geometry as POSCAR:
```
Na3SmP2
1.0
-3.432 7.099 3.485
3.432 -7.099 3.485
3.432 7.099 -3.485
Na P Sm
6 4 2
Direct
0.702 0.688 0.389
0.202 0.812 0.014
0.298 0.312 0.611
0.750 0.250 0.500
0.798 0.188 0.986
0.250 0.750 0.500
0.108 0.220 0.328
0.392 0.720 0.112
0.608 0.280 0.888
0.892 0.780 0.672
0.250 0.250 0.000
0.750 0.750 0.000
```

Final energy (Ry per atom): -0.2811
Volume (Å³/atom): 28.3


# 2
This record from OQMD describes a relaxed NaTa3P5 crystal. The functional is PBE.

Geometry as POSCAR:
```
NaTa3P5
1.0
-1.512 -4.323 3.470
4.106 3.680 1.616
-4.082 3.449 2.518
Na Ta P
1 3 5
Direct
0.000 0.000 0.000
0.500 0.000 0.500
0.500 0.500 0.500
0.000 0.500 0.500
0.000 0.000 0.500
0.333 0.667 0.181
0.667 0.333 0.181
0.667 0.333 0.819
0.333 0.667 0.819
```

Final energy (Ry per atom): -0.5445
Volume (Å³/atom): 18.8


# 3
This record from OQMD describes a relaxed Na6P4W crystal. The functional is PBE.

Geometry as POSCAR:
```
Na6P4W
1.0
9.101 0.000 0.000
-4.551 7.882 0.000
0.000 0.000 7.125
Na P W
12 8 2
Direct
0.532 0.064 0.108
0.853 0.147 0.785
0.147 0.853 0.285
0.064 0.532 0.608
0.706 0.853 0.285
0.853 0.706 0.785
0.532 0.468 0.108
0.468 0.532 0.608
0.468 0.936 0.608
0.294 0.147 0.785
0.147 0.294 0.285
0.936 0.468 0.108
0.333 0.667 0.320
0.193 0.387 0.893
0.667 0.333 0.820
0.613 0.807 0.893
0.807 0.613 0.393
0.193 0.807 0.893
0.387 0.193 0.393
0.807 0.193 0.393
0.333 0.667 0.996
0.667 0.333 0.496
```

Final energy (Ry per atom): -0.3142
Volume (Å³/atom): 23.2


# 4
This record from OQMD describes a relaxed NaZr3P5 crystal. The functional is PBE.

Geometry as POSCAR:
```
NaZr3P5
1.0
6.087 0.000 0.000
-3.043 5.271 0.000
0.000 0.000 5.972
P Zr Na
5 3 1
Direct
0.667 0.333 0.178
0.667 0.333 0.822
0.000 0.000 0.500
0.333 0.667 0.178
0.333 0.667 0.822
0.000 0.500 0.500
0.500 0.500 0.500
0.500 0.000 0.500
0.000 0.000 0.000
```

Final energy (Ry per atom): -0.4854
Volume (Å³/atom): 21.3


# 5
This record from OQMD describes a relaxed NaPaPb crystal. The functional is PBE.

Geometry as POSCAR:
```
NaPaPb
1.0
0.000 3.712 3.712
3.712 0.000 3.712
3.712 3.712 0.000
Pb Na Pa
1 1 1
Direct
0.750 0.750 0.750
0.250 0.250 0.250
0.000 0.000 0.000
```

Final energy (Ry per atom): -0.2934
ΔE to the lowest computed polymorph (meV per atom): 274
Volume (Å³/atom): 34.1


# 6
This record from OQMD describes a relaxed NaPaPb crystal. The functional is PBE.

Geometry as POSCAR:
```
NaPaPb
1.0
0.000 3.681 3.681
3.681 0.000 3.681
3.681 3.681 0.000
Pb Pa Na
1 1 1
Direct
0.000 0.000 0.000
0.750 0.750 0.750
0.250 0.250 0.250
```

Final energy (Ry per atom): -0.3135
ΔE to the lowest computed polymorph (meV per atom): 0
Volume (Å³/atom): 33.2


# 7
This record from OQMD describes a relaxed NaPmPa crystal. The functional is PBE.

Geometry as POSCAR:
```
NaPmPa
1.0
4.022 -3.280 -0.510
2.245 -2.052 4.236
-0.612 -5.065 1.081
Na Pa Pm
1 1 1
Direct
0.000 0.000 0.000
0.250 0.250 0.250
0.750 0.750 0.750
```

Final energy (Ry per atom): -0.2788
Volume (Å³/atom): 33.4


# 8
This record from OQMD describes a relaxed NaPaPt crystal. The functional is PBE.

Geometry as POSCAR:
```
NaPaPt
1.0
3.590 0.037 2.848
-0.670 0.144 4.531
0.924 -3.680 2.571
Pa Na Pt
1 1 1
Direct
0.250 0.250 0.250
0.000 0.000 0.000
0.750 0.750 0.750
```

Final energy (Ry per atom): -0.3669
Volume (Å³/atom): 22.7


# 9
This record from OQMD describes a relaxed RbNaPa crystal. The functional is PBE.

Geometry as POSCAR:
```
RbNaPa
1.0
0.000 4.178 4.178
4.178 0.000 4.178
4.178 4.178 0.000
Pa Na Rb
1 1 1
Direct
0.250 0.250 0.250
0.000 0.000 0.000
0.750 0.750 0.750
```

Final energy (Ry per atom): -0.1611
ΔE to the lowest computed polymorph (meV per atom): 0
Volume (Å³/atom): 48.6


# 10
This record from OQMD describes a relaxed RbNaPaSe3 crystal. The functional is PBE.

Geometry as POSCAR:
```
RbNaPaSe3
1.0
5.410 2.168 -5.328
-6.729 -3.856 1.489
-5.910 9.489 -2.140
Rb Na Se Pa
2 2 6 2
Direct
0.771 0.229 0.250
0.229 0.771 0.750
0.943 0.057 0.750
0.057 0.943 0.250
0.123 0.877 0.474
0.449 0.551 0.250
0.877 0.123 0.526
0.551 0.449 0.750
0.877 0.123 0.974
0.123 0.877 0.026
0.500 0.500 0.000
0.500 0.500 0.500
```

Final energy (Ry per atom): -0.3642
Volume (Å³/atom): 31.6


# 11
This record from OQMD describes a relaxed Na3PaS4 crystal. The functional is PBE.

Geometry as POSCAR:
```
Na3PaS4
1.0
4.043 -5.616 0.000
4.043 5.616 0.000
0.000 0.000 4.090
Pa S Na
1 4 3
Direct
0.000 0.000 0.500
0.777 0.777 0.000
0.773 0.227 0.500
0.223 0.223 0.000
0.227 0.773 0.500
0.500 0.500 0.500
0.500 0.000 0.000
0.000 0.500 0.000
```

Final energy (Ry per atom): -0.3804
Volume (Å³/atom): 23.2


# 12
This record from OQMD describes a relaxed NaScPa crystal. The functional is PBE.

Geometry as POSCAR:
```
NaScPa
1.0
4.536 -2.075 -0.999
2.849 -1.835 3.794
0.663 -5.021 0.484
Pa Na Sc
1 1 1
Direct
0.750 0.750 0.750
0.250 0.250 0.250
0.000 0.000 0.000
```

Final energy (Ry per atom): -0.3123
ΔE to the lowest computed polymorph (meV per atom): 0
Volume (Å³/atom): 31.0